Entry 1:
Compound: KZrFe3
Source: Alexandria via LeMat-Bulk
Functional: PBE-GGA
Structure: relaxed Values from VASP.

Geometry as Quantum ESPRESSO input:
```
&SYSTEM
  ibrav = 0, nat = 5, ntyp = 3
/
ATOMIC_SPECIES
Zr 91.22 Zr.upf
Fe 55.84 Fe.upf
K 39.10 K.upf
CELL_PARAMETERS angstrom
-4.8238 0.6890 0.9307
0.4847 -2.4196 4.3035
1.0516 4.2756 2.2855
ATOMIC_POSITIONS crystal
Zr 0.0000 0.0000 0.0000
Fe 0.0000 0.0000 0.5000
Fe 0.5000 0.0000 0.0000
Fe 0.0000 0.5000 0.0000
K 0.5000 0.5000 0.5000
```

The calculated formation energy comes out at 31.930 kcal/mol of atoms. The value obtained for the offset from the most stable computed form is 0 meV/atom. As for the symmetry: Pm-3m (221).



Entry 2:
Compound: YTl3Ga
Source: Alexandria via LeMat-Bulk
Functional: PBE-GGA
Structure: relaxed Values from VASP.

Geometry as Quantum ESPRESSO input:
```
&SYSTEM
  ibrav = 0, nat = 5, ntyp = 3
/
ATOMIC_SPECIES
Tl 204.38 Tl.upf
Ga 69.72 Ga.upf
Y 88.91 Y.upf
CELL_PARAMETERS angstrom
5.3693 0.0000 0.0000
0.0000 5.3693 0.0000
0.0000 0.0000 5.3693
ATOMIC_POSITIONS crystal
Tl 0.0000 0.5000 0.0000
Ga 0.0000 0.0000 0.0000
Y 0.5000 0.5000 0.5000
Tl 0.5000 0.0000 0.0000
Tl 0.0000 0.0000 0.5000
```

The calculated formation energy comes out at 5.997 kcal/mol of atoms. The value obtained for the offset from the most stable computed form is 0 meV/atom. As for the symmetry: Pm-3m (221).